Run i
A plane-wave DFT calculation with PBE was carried out for crystalline BaHg2W at its relaxed geometry.

Lattice parameters (Å, degrees): 3.291 5.818 11.268 90.00 90.00 90.00
Space group Immm (No. 71)
One atom of each set of equivalent atoms:
Ba 0.000 0.000 0.000 [2 per cell]
Hg 0.000 0.500 0.205 [4 per cell]
W 0.000 0.000 0.500 [2 per cell]

Magnetic moment (Bohr magnetons per cell): 1.654
Density of states at the Fermi level (states/eV/atom): 1.047

---

Run ii
A plane-wave DFT calculation with PBE was carried out for crystalline BaHg2W at its relaxed geometry.

Lattice parameters (Å, degrees): 7.012 8.800 3.120 90.00 90.00 90.00
Space group Cmmm (No. 65)
One atom of each set of equivalent atoms:
Ba 0.000 0.000 0.000 [2 per cell]
Hg 0.250 0.250 0.500 [4 per cell]
W 0.000 0.500 0.000 [2 per cell]

Magnetic moment (Bohr magnetons per cell): 0.001
Density of states at the Fermi level (states/eV/atom): 0.640

---

Run iii
A plane-wave DFT calculation with PBE was carried out for crystalline BaHg2W at its relaxed geometry.

Lattice parameters (Å, degrees): 7.653 7.653 7.653 90.00 90.00 90.00
Space group F-43m (No. 216)
One atom of each set of equivalent atoms:
Ba 0.000 0.000 0.000 [4 per cell]
Hg 0.000 0.000 0.500 [4 per cell]
Hg 0.250 0.250 0.250 [4 per cell]
W 0.250 0.250 0.750 [4 per cell]

Magnetic moment (Bohr magnetons per cell): 15.902
Density of states at the Fermi level (states/eV/atom): 0.430

---

Energies relative to the minimum, meV/atom: run i 0; run ii 8; run iii 170